No. 1
## K3LaC (PBE)

Data for a geometry-optimized K3LaC structure.

Structure (POSCAR):
```
K3LaC
1.0
-2.013 -4.939 -5.375
3.338 -5.581 3.878
-6.492 -1.338 3.661
K C La
3 1 1
direct
0.500 0.000 0.000 K
0.000 0.500 0.000 K
0.000 0.000 0.500 K
0.500 0.500 0.500 C
0.000 0.000 0.000 La
```

- ΔE_f: 2083.8 meV/atom
- Symmetry: Pm-3m, No. 221

=====

No. 2
## CsMgP (PBE)

Data for a geometry-optimized CsMgP structure.

Structure (POSCAR):
```
CsMgP
1.0
-2.464 5.080 3.765
-2.979 -3.194 4.174
4.683 0.831 3.727
Cs Mg P
2 2 2
direct
0.589 0.561 0.245 Cs
0.364 0.098 0.783 Cs
0.001 0.638 0.664 Mg
0.000 0.980 0.321 Mg
0.106 0.625 0.049 P
0.107 0.364 0.309 P
```

- ΔE_f: -181.4 meV/atom
- Symmetry: P1, No. 1

=====

No. 3
## Tm2ScTl (PBE)

Data for a geometry-optimized Tm2ScTl structure.

Structure (POSCAR):
```
Tm2ScTl
1.0
-0.547 -2.758 2.042
1.826 -2.915 -0.492
7.836 1.616 7.238
Tm Tl Sc
2 1 1
direct
0.083 0.083 0.751 Tm
0.250 0.250 0.249 Tm
0.667 0.667 0.000 Tl
0.500 0.500 0.500 Sc
```

- ΔE_f: -99.6 meV/atom
- Symmetry: R3m, No. 160
- Relative energy among the computed polymorphs: 81 meV per atom

=====

No. 4
## ScSnSbI2 (PBE)

Data for a geometry-optimized ScSnSbI2 structure.

Structure (POSCAR):
```
ScSnSbI2
1.0
-2.971 -4.559 -2.051
2.719 0.529 -5.113
4.259 -3.626 1.890
I Sb Sn Sc
2 1 1 1
direct
0.000 0.500 0.000 I
0.500 0.000 0.000 I
0.000 0.000 0.500 Sb
0.000 0.000 0.000 Sn
0.500 0.500 0.500 Sc
```

- Formation energy from raw total energies: 357 meV per atom
- Symmetry: P4/mmm, No. 123
- Relative energy among the computed polymorphs: 548 meV per atom

=====

No. 5
## Li2TbLu (PBE)

Data for a geometry-optimized Li2TbLu structure.

Structure (POSCAR):
```
Li2TbLu
1.0
-2.761 1.548 0.906
-2.732 -0.311 -1.811
-4.981 -8.932 6.058
Tb Li Lu
1 2 1
direct
0.500 0.500 0.500 Tb
0.913 0.913 0.262 Li
0.087 0.087 0.738 Li
0.000 0.000 0.000 Lu
```

- ΔE_f: 300.3 meV/atom
- Symmetry: R-3m, No. 166
- Relative energy among the computed polymorphs: 142 meV per atom

=====

No. 6
## CaPd7Au4 (PBE)

Data for a geometry-optimized CaPd7Au4 structure.

Structure (POSCAR):
```
CaPd7Au4
1.0
5.473 1.347 1.083
4.071 5.904 2.574
0.054 0.195 7.635
Pd Ca Au
7 1 4
direct
0.000 0.666 0.334 Pd
0.000 0.334 0.666 Pd
0.256 0.827 0.666 Pd
0.500 0.000 0.000 Pd
0.244 0.501 0.001 Pd
0.756 0.499 0.999 Pd
0.744 0.173 0.334 Pd
0.000 0.000 0.000 Ca
0.744 0.835 0.671 Au
0.256 0.165 0.329 Au
0.492 0.338 0.665 Au
0.508 0.662 0.335 Au
```

- ΔE_f: -232.2 meV/atom
- Symmetry: P-1, No. 2

=====

No. 7
## KIr3Br (PBE)

Data for a geometry-optimized KIr3Br structure.

Structure (POSCAR):
```
KIr3Br
1.0
-1.346 3.591 -2.812
-4.551 -0.867 1.071
0.296 2.994 3.682
Br K Ir
1 1 3
direct
0.000 0.000 0.000 Br
0.500 0.500 0.500 K
0.500 0.000 0.000 Ir
0.000 0.500 0.000 Ir
0.000 0.000 0.500 Ir
```

- Formation energy from raw total energies: 1663 meV per atom
- Symmetry: Pm-3m, No. 221
- Relative energy among the computed polymorphs: 0 meV per atom

=====

No. 8
## CsCrCuB2 (PBE)

Data for a geometry-optimized CsCrCuB2 structure.

Structure (POSCAR):
```
CsCrCuB2
1.0
4.116 0.000 0.000
0.000 4.116 0.000
0.000 0.000 5.773
Cu B Cr Cs
1 2 1 1
direct
0.500 0.500 0.500 Cu
0.000 0.500 0.000 B
0.500 0.000 0.000 B
0.000 0.000 0.000 Cr
0.000 0.000 0.500 Cs
```

- ΔE_f: 1692.7 meV/atom
- Symmetry: P4/mmm, No. 123

=====

No. 9
## AlCr2Fe5Tc2 (PBE)

Data for a geometry-optimized AlCr2Fe5Tc2 structure.

Structure (POSCAR):
```
AlCr2Fe5Tc2
1.0
3.837 0.000 0.000
0.000 8.038 0.000
0.000 0.000 8.038
Fe Tc Cr Al
10 4 4 2
direct
0.500 0.200 0.071 Fe
0.500 0.300 0.571 Fe
0.500 0.929 0.200 Fe
0.500 0.500 0.000 Fe
0.500 0.571 0.700 Fe
0.500 0.800 0.929 Fe
0.500 0.071 0.800 Fe
0.500 0.000 0.500 Fe
0.500 0.429 0.300 Fe
0.500 0.700 0.429 Fe
0.000 0.166 0.334 Tc
0.000 0.334 0.834 Tc
0.000 0.666 0.166 Tc
0.000 0.834 0.666 Tc
0.000 0.130 0.630 Cr
0.000 0.370 0.130 Cr
0.000 0.870 0.370 Cr
0.000 0.630 0.870 Cr
0.000 0.000 0.000 Al
0.000 0.500 0.500 Al
```

- ΔE_f: 117.2 meV/atom
- Symmetry: P4/mbm, No. 127

=====

No. 10
## SnPd6Au5 (PBE)

Data for a geometry-optimized SnPd6Au5 structure.

Structure (POSCAR):
```
SnPd6Au5
1.0
4.159 -0.003 -1.165
-3.019 6.516 -2.788
-0.086 -0.350 7.695
Pd Sn Au
6 1 5
direct
0.243 0.405 0.080 Pd
0.757 0.920 0.595 Pd
0.265 0.765 0.765 Pd
0.757 0.595 0.920 Pd
0.735 0.235 0.235 Pd
0.243 0.080 0.405 Pd
0.000 0.000 0.000 Sn
0.500 0.177 0.823 Au
0.000 0.663 0.337 Au
0.500 0.823 0.177 Au
0.500 0.500 0.500 Au
0.000 0.337 0.663 Au
```

- ΔE_f: -222.8 meV/atom
- Symmetry: Immm, No. 71
- Relative energy among the computed polymorphs: 0 meV per atom

=====

No. 11
## MnAgSnSe3 (PBE)

Data for a geometry-optimized MnAgSnSe3 structure.

Structure (POSCAR):
```
MnAgSnSe3
1.0
3.684 0.000 0.000
0.000 7.781 0.248
0.000 -1.625 9.688
Se Sn Ag Mn
6 2 2 2
direct
0.750 0.337 0.597 Se
0.250 0.567 0.867 Se
0.250 0.133 0.886 Se
0.250 0.663 0.403 Se
0.750 0.867 0.114 Se
0.750 0.433 0.133 Se
0.750 0.713 0.623 Sn
0.250 0.287 0.377 Sn
0.750 0.966 0.382 Ag
0.250 0.034 0.618 Ag
0.250 0.656 0.123 Mn
0.750 0.344 0.877 Mn
```

- Formation energy from raw total energies: -251 meV per atom
- Symmetry: P2_1/m, No. 11

=====

No. 12
## ErTa2Al8 (PBE)

Data for a geometry-optimized ErTa2Al8 structure.

Structure (POSCAR):
```
ErTa2Al8
1.0
-3.616 -1.552 -3.391
1.362 -6.084 3.293
-3.515 5.096 3.375
Er Ta Al
1 2 8
direct
0.500 0.000 0.000 Er
0.000 0.707 0.293 Ta
0.000 0.293 0.707 Ta
0.729 0.430 0.430 Al
0.141 0.103 0.317 Al
0.859 0.897 0.683 Al
0.141 0.317 0.103 Al
0.271 0.570 0.570 Al
0.859 0.683 0.897 Al
0.500 0.746 0.254 Al
0.500 0.254 0.746 Al
```

- ΔE_f: 65.4 meV/atom
- Symmetry: C2/m, No. 12

=====

no.,D(E_F) (states/eV/atom),calculated volume (A^3/atom)
1,4.69,86.83
2,0.00,40.10
3,1.24,27.71
4,1.04,39.93
5,1.01,27.54
6,0.61,16.90
7,1.67,21.50
8,0.69,19.56
9,1.11,12.40
10,0.37,16.88
11,0.29,23.27
12,0.27,19.00